This record from Alexandria describes a geometry-optimized CaLaSb2S structure. The functional is PBE-GGA.

Structure (extended XYZ):
```
5
Lattice="6.019 0.000 0.000 0.000 5.404 0.000 0.000 0.000 6.019" Properties=species:S:1:pos:R:3 pbc="T T T"
Sb 3.009 0.000 0.000
Sb 0.000 0.000 3.009
Ca 3.009 2.702 3.009
La 0.000 0.000 0.000
S 0.000 2.702 0.000
```

Summary:
Crystal system ... tetragonal
ΔE_f (raw) ... -0.310 eV/atom
SG ... P4/mmm
Uncorrected energy ... -4.170 eV per atom
Total magnetic moment ... 0.000 μB per cell

This record from Alexandria describes a geometry-optimized Tm4CdSn2 structure. The functional is PBE-GGA.

Structure (extended XYZ):
```
14
Lattice="-6.003 -2.235 3.483 0.023 -5.468 -3.468 7.910 -2.420 3.868" Properties=species:S:1:pos:R:3 pbc="T T T"
Sn -4.146 -6.002 0.368
Sn 1.419 -3.219 2.063
Sn 0.511 -6.903 1.821
Sn 6.076 -4.121 3.515
Tm -1.525 -1.785 2.754
Tm 3.444 -5.649 2.835
Tm -1.603 -4.856 4.623
Tm -1.514 -4.474 1.049
Tm 3.455 -8.338 1.129
Tm 6.453 -6.329 0.954
Tm -4.523 -3.794 2.929
Tm 3.532 -5.267 -0.739
Cd 0.556 -5.142 -0.956
Cd 1.373 -4.981 4.840
```

Summary:
Crystal system ... monoclinic
SG ... P2_1/m
Uncorrected energy ... -4.143 eV per atom
Total magnetic moment ... 0.000 μB per cell

This record from Alexandria describes a geometry-optimized FeReRu2 structure. The functional is PBE-GGA.

Structure (extended XYZ):
```
4
Lattice="2.809 0.000 0.000 0.000 4.484 0.000 0.000 0.000 4.433" Properties=species:S:1:pos:R:3 pbc="T T T"
Fe 1.405 0.000 2.216
Re 0.000 2.242 2.216
Ru 0.000 0.000 0.000
Ru 1.405 2.242 0.000
```

Summary:
Crystal system ... orthorhombic
SG ... Pmmm
Uncorrected energy ... -9.513 eV per atom
Total magnetic moment ... 2.718 μB per cell

This record from Alexandria describes a geometry-optimized Ho4SnHgN structure. The functional is PBE-GGA.

Structure (extended XYZ):
```
14
Lattice="-3.317 5.555 -1.472 -5.397 -2.432 2.982 3.962 0.386 7.485" Properties=species:S:1:pos:R:3 pbc="T T T"
Sn 0.447 1.860 6.009
Sn -5.199 1.650 2.985
Hg -3.929 3.394 6.706
Hg -0.823 0.115 2.288
Ho 1.981 0.193 3.742
Ho 0.322 2.971 3.006
Ho -2.598 2.733 1.211
Ho -2.376 1.755 4.497
Ho -2.154 0.777 7.784
Ho -3.673 -1.310 3.332
Ho -1.078 4.820 5.662
Ho -0.718 -1.023 5.233
N -2.887 -0.229 5.638
N -1.865 3.739 3.356
```

Summary:
Crystal system ... orthorhombic
ΔE_f (raw) ... -0.860 eV/atom
SG ... Cmcm
Uncorrected energy ... -5.280 eV per atom
Total magnetic moment ... 0.000 μB per cell

This record from Alexandria describes a geometry-optimized Pm2FeOs2 structure. The functional is PBE-GGA.

Structure (extended XYZ):
```
5
Lattice="4.360 0.000 0.000 0.000 5.162 0.000 -2.180 -2.581 4.661" Properties=species:S:1:pos:R:3 pbc="T T T"
Pm 2.180 0.000 2.857
Pm 0.000 2.581 1.803
Os 2.180 3.843 0.000
Os 2.180 1.318 0.000
Fe 0.000 0.000 0.000
```

Summary:
Crystal system ... orthorhombic
SG ... Immm
Uncorrected energy ... -8.169 eV per atom
Total magnetic moment ... 2.124 μB per cell

This record from Alexandria describes a geometry-optimized Na4LaCe3S8 structure. The functional is PBE-GGA.

Structure (extended XYZ):
```
16
Lattice="-6.791 1.145 4.686 4.357 -1.735 6.738 2.509 5.979 -5.229" Properties=species:S:1:pos:R:3 pbc="T T T"
Na 0.000 0.000 0.000
Na 1.255 2.990 -2.615
Na -3.396 0.573 2.343
Na -2.141 3.562 -0.271
Ce 0.038 2.695 3.098
Ce -1.217 -0.295 5.712
Ce 3.433 2.122 0.754
S -2.683 3.434 2.676
S -3.923 0.480 5.259
S 0.643 5.476 3.251
S 2.758 1.956 3.519
S -0.640 2.498 5.866
S 0.715 2.892 0.329
S -0.568 -0.086 2.944
S 3.998 4.910 0.936
La 2.178 -0.867 3.369
```

Summary:
Crystal system ... trigonal
ΔE_f (raw) ... -1.763 eV/atom
SG ... R-3m
Uncorrected energy ... -5.577 eV per atom
Total magnetic moment ... 3.013 μB per cell

This record from Alexandria describes a geometry-optimized YOsI2O structure. The functional is PBE-GGA.

Structure (extended XYZ):
```
5
Lattice="5.718 0.000 0.000 0.000 5.718 0.000 0.000 0.000 3.747" Properties=species:S:1:pos:R:3 pbc="T T T"
I 2.859 0.000 0.000
I 0.000 2.859 0.000
Os 0.000 0.000 0.000
O 0.000 0.000 1.874
Y 2.859 2.859 1.874
```

Summary:
Crystal system ... tetragonal
ΔE_f (raw) ... -0.219 eV/atom
SG ... P4/mmm
Uncorrected energy ... -5.370 eV per atom
Total magnetic moment ... 0.283 μB per cell

This record from Alexandria describes a geometry-optimized CaIn2Hg2 structure. The functional is PBE-GGA.

Structure (extended XYZ):
```
10
Lattice="-0.044 -8.011 -1.881 7.578 0.694 -3.133 1.571 -0.856 3.610" Properties=species:S:1:pos:R:3 pbc="T T T"
In 7.066 -5.196 -2.059
In 5.835 -1.305 -0.600
In 2.039 -2.977 0.655
In 3.270 -6.868 -0.804
Hg 6.548 -2.332 -3.402
Hg 2.769 -0.818 -1.399
Hg 4.765 -6.499 -3.615
Hg 0.987 -4.985 -1.612
Ca 3.767 -3.658 -2.507
Ca 0.000 0.000 0.000
```

Summary:
Crystal system ... tetragonal
SG ... P4/mbm
Uncorrected energy ... -1.821 eV per atom
Total magnetic moment ... 0.000 μB per cell

This record from Alexandria describes a geometry-optimized Ca3Cd3Pt2 structure. The functional is PBE-GGA.

Structure (extended XYZ):
```
32
Lattice="5.792 0.000 0.000 0.000 7.871 0.000 0.000 0.000 17.331" Properties=species:S:1:pos:R:3 pbc="T T T"
Cd 0.587 1.388 9.183
Cd 3.484 2.547 8.148
Cd 2.023 5.320 4.333
Cd 3.769 2.551 12.998
Cd 3.484 2.547 0.517
Cd 2.309 5.323 16.814
Cd 0.587 1.388 16.814
Cd 0.873 1.385 4.333
Cd 5.205 6.483 0.517
Cd 2.309 5.323 9.183
Cd 4.919 6.486 12.998
Cd 5.205 6.483 8.148
Ca 3.787 2.668 4.333
Ca 4.901 6.604 4.333
Ca 3.497 0.258 10.592
Ca 2.296 7.612 6.738
Ca 5.192 4.194 15.404
Ca 0.891 1.267 12.998
Ca 0.600 3.677 1.927
Ca 2.296 7.612 1.927
Ca 0.600 3.677 6.738
Ca 3.497 0.258 15.404
Ca 2.005 5.202 12.998
Ca 5.192 4.194 10.592
Pt 0.634 6.928 10.724
Pt 3.530 4.878 2.059
Pt 2.262 2.993 15.272
Pt 2.262 2.993 10.724
Pt 3.530 4.878 6.607
Pt 0.634 6.928 15.272
Pt 5.158 0.943 6.607
Pt 5.158 0.943 2.059
```

Summary:
Crystal system ... orthorhombic
SG ... Pnma
Uncorrected energy ... -3.213 eV per atom
Total magnetic moment ... 0.000 μB per cell

This record from Alexandria describes a geometry-optimized TbPaSe4 structure. The functional is PBE-GGA.

Structure (extended XYZ):
```
6
Lattice="-2.883 -1.844 -2.435 4.869 3.825 -5.038 2.223 -6.416 2.227" Properties=species:S:1:pos:R:3 pbc="T T T"
Se 4.261 -2.317 -3.290
Se 2.456 -4.248 0.309
Se 1.752 -0.188 -5.555
Se -0.053 -2.118 -1.956
Tb 0.000 0.000 0.000
Pa -0.330 -4.130 -0.104
```

Summary:
Crystal system ... monoclinic
ΔE_f (raw) ... -1.554 eV/atom
SG ... C2/m
Uncorrected energy ... -6.231 eV per atom
Total magnetic moment ... 0.000 μB per cell

This record from Alexandria describes a geometry-optimized AlGaSbRh2 structure. The functional is PBE-GGA.

Structure (extended XYZ):
```
5
Lattice="4.897 0.000 0.000 0.000 5.069 0.000 0.000 0.000 4.897" Properties=species:S:1:pos:R:3 pbc="T T T"
Rh 0.000 0.000 2.448
Rh 2.448 0.000 0.000
Al 2.448 2.534 2.448
Ga 0.000 2.534 0.000
Sb 0.000 0.000 0.000
```

Summary:
Crystal system ... tetragonal
ΔE_f (raw) ... 0.829 eV/atom
SG ... P4/mmm
Uncorrected energy ... -4.290 eV per atom
Total magnetic moment ... 0.484 μB per cell

This record from Alexandria describes a geometry-optimized NaMg2InPb2 structure. The functional is PBE-GGA.

Structure (extended XYZ):
```
12
Lattice="-1.164 4.454 -2.405 -6.257 -4.590 -5.473 -4.633 1.135 4.346" Properties=species:S:1:pos:R:3 pbc="T T T"
Mg -5.379 -0.807 1.109
Mg -2.430 1.743 -1.204
Mg -9.624 -0.745 -2.328
Mg -5.511 -2.648 -2.236
Pb -7.200 -1.244 -4.428
Pb -2.978 -1.301 -0.968
Pb -7.912 -2.155 -0.159
Pb -4.855 2.243 0.896
Na -3.711 -0.068 -3.939
Na -2.317 0.567 2.173
In -6.027 0.499 -1.766
In 0.000 0.000 0.000
```

Summary:
Crystal system ... orthorhombic
SG ... Pnnm
Uncorrected energy ... -2.496 eV per atom
Total magnetic moment ... 0.000 μB per cell

This record from Alexandria describes a geometry-optimized Y2SiHg structure. The functional is PBE-GGA.

Structure (extended XYZ):
```
4
Lattice="3.411 0.000 0.000 0.000 3.888 0.030 0.000 3.831 7.165" Properties=species:S:1:pos:R:3 pbc="T T T"
Y 0.000 3.829 7.021
Y 0.000 3.861 3.741
Hg 1.706 1.930 1.799
Si 1.706 5.789 5.396
```

Summary:
Crystal system ... orthorhombic
ΔE_f (raw) ... -0.529 eV/atom
SG ... Pmmm
Uncorrected energy ... -5.192 eV per atom
Total magnetic moment ... 0.000 μB per cell

This record from Alexandria describes a geometry-optimized TmH4Pd6 structure. The functional is PBE-GGA.

Structure (extended XYZ):
```
11
Lattice="1.202 5.502 1.234 0.670 -0.949 5.647 4.939 1.577 2.900" Properties=species:S:1:pos:R:3 pbc="T T T"
H 4.800 3.067 5.061
H 1.675 0.707 3.311
H 6.098 4.962 7.987
H 1.834 2.632 1.993
Pd 5.137 1.320 5.847
Pd 5.389 4.381 3.753
Pd 2.471 0.932 1.660
Pd 3.071 3.809 2.166
Pd 2.782 0.309 4.560
Pd 3.063 3.150 4.974
Tm 4.810 1.705 3.073
```

Summary:
Crystal system ... monoclinic
SG ... Cm
Uncorrected energy ... -4.770 eV per atom
Total magnetic moment ... 0.000 μB per cell

This record from Alexandria describes a geometry-optimized TbPd6Au structure. The functional is PBE-GGA.

Structure (extended XYZ):
```
8
Lattice="-0.898 -4.892 0.241 1.007 -2.189 4.358 -6.417 -0.481 3.284" Properties=species:S:1:pos:R:3 pbc="T T T"
Pd -2.373 -2.913 1.352
Pd -1.441 -1.589 3.368
Pd -0.272 -4.599 3.146
Pd -6.036 -2.963 4.738
Pd -4.867 -5.974 4.516
Pd -3.935 -4.649 6.532
Au 0.000 0.000 0.000
Tb -3.154 -3.781 3.942
```

Summary:
Crystal system ... monoclinic
SG ... C2/m
Uncorrected energy ... -5.041 eV per atom
Total magnetic moment ... 0.000 μB per cell

This record from Alexandria describes a geometry-optimized Tb3Pm2Dy structure. The functional is PBE-GGA.

Structure (extended XYZ):
```
12
Lattice="-2.452 -2.507 -0.115 5.452 -5.637 6.650 -6.042 8.085 6.111" Properties=species:S:1:pos:R:3 pbc="T T T"
Tb -3.376 2.889 9.035
Tb -0.155 -2.627 7.067
Tb 0.334 -2.948 3.611
Tb 3.176 -3.378 5.948
Tb -2.887 2.569 5.579
Tb -6.217 3.320 6.698
Pm -0.263 0.177 1.741
Pm -1.049 0.663 7.922
Pm -1.993 -0.722 4.724
Pm -2.779 -0.236 10.905
Dy 0.724 -1.174 10.170
Dy -3.766 1.115 2.476
```

Summary:
Crystal system ... monoclinic
SG ... C2/m
Uncorrected energy ... -4.547 eV per atom
Total magnetic moment ... 0.000 μB per cell

This record from Alexandria describes a geometry-optimized LaCdSN2 structure. The functional is PBE-GGA.

Structure (extended XYZ):
```
5
Lattice="4.297 0.000 0.000 0.000 4.297 0.000 0.000 0.000 4.920" Properties=species:S:1:pos:R:3 pbc="T T T"
N 0.000 2.148 0.000
N 2.148 0.000 0.000
S 0.000 0.000 2.460
La 2.148 2.148 2.460
Cd 0.000 0.000 0.000
```

Summary:
Crystal system ... tetragonal
ΔE_f (raw) ... 0.437 eV/atom
SG ... P4/mmm
Uncorrected energy ... -4.887 eV per atom
Total magnetic moment ... 1.633 μB per cell

This record from Alexandria describes a geometry-optimized HfCoBi structure. The functional is PBE-GGA.

Structure (extended XYZ):
```
6
Lattice="-2.962 0.919 -1.404 -1.393 -2.935 1.017 -1.019 5.989 10.194" Properties=species:S:1:pos:R:3 pbc="T T T"
Co -3.568 1.159 4.156
Co -1.806 2.815 5.650
Bi -2.676 4.171 8.374
Bi -2.697 -0.198 1.432
Hf -1.116 1.739 3.492
Hf -4.258 2.234 6.314
```

Summary:
Crystal system ... tetragonal
SG ... I4/mmm
Uncorrected energy ... -7.146 eV per atom
Total magnetic moment ... 0.000 μB per cell

This record from Alexandria describes a geometry-optimized CoNi structure. The functional is PBE-GGA.

Structure (extended XYZ):
```
4
Lattice="-0.991 0.171 -2.284 2.327 -0.855 0.290 -2.853 -7.531 0.675" Properties=species:S:1:pos:R:3 pbc="T T T"
Ni -1.419 -3.746 0.336
Ni -0.926 -6.181 -0.060
Co 0.517 -2.372 -0.401
Co -0.009 -0.024 0.002
```

Summary:
Crystal system ... trigonal
SG ... P-3m1
Uncorrected energy ... -6.455 eV per atom
Total magnetic moment ... 4.699 μB per cell

This record from Alexandria describes a geometry-optimized CaAc2Gd structure. The functional is PBE-GGA.

Structure (extended XYZ):
```
4
Lattice="4.232 0.000 0.000 0.000 6.205 0.000 0.000 0.000 6.205" Properties=species:S:1:pos:R:3 pbc="T T T"
Ac 0.000 0.000 3.102
Ac 0.000 3.102 0.000
Gd 2.116 3.102 3.102
Ca 2.116 0.000 0.000
```

Summary:
Crystal system ... tetragonal
SG ... P4/mmm
Uncorrected energy ... -6.004 eV per atom
Total magnetic moment ... 7.527 μB per cell

This record from Alexandria describes a geometry-optimized Ac2YMg structure. The functional is PBE-GGA.

Structure (extended XYZ):
```
4
Lattice="4.021 0.000 0.000 0.000 4.021 0.000 0.000 0.000 9.154" Properties=species:S:1:pos:R:3 pbc="T T T"
Ac 0.000 0.000 7.037
Ac 0.000 0.000 2.118
Y 2.011 2.011 4.577
Mg 2.011 2.011 0.000
```

Summary:
Crystal system ... tetragonal
SG ... P4/mmm
Uncorrected energy ... -4.073 eV per atom
Total magnetic moment ... 0.000 μB per cell

This record from Alexandria describes a geometry-optimized LaTb5Tl4 structure. The functional is PBE-GGA.

Structure (extended XYZ):
```
10
Lattice="-3.211 1.423 -0.852 -1.597 -3.154 0.750 -2.751 6.400 21.054" Properties=species:S:1:pos:R:3 pbc="T T T"
Tb -3.779 2.335 10.476
Tb -4.828 4.774 18.500
Tb -2.731 -0.104 2.452
Tb -3.253 1.111 6.452
Tb -4.305 3.558 14.501
Tl -1.113 2.589 8.517
Tl -0.585 1.361 4.477
Tl -2.166 5.039 16.577
Tl -1.638 3.811 12.537
La 0.000 0.000 0.000
```

Summary:
Crystal system ... tetragonal
SG ... P4/mmm
Uncorrected energy ... -4.037 eV per atom
Total magnetic moment ... 0.147 μB per cell

This record from Alexandria describes a geometry-optimized KRb2Na5Cd2 structure. The functional is PBE-GGA.

Structure (extended XYZ):
```
20
Lattice="5.062 0.000 0.000 0.000 13.233 0.000 0.000 0.000 13.233" Properties=species:S:1:pos:R:3 pbc="T T T"
Cd 0.000 5.104 1.513
Cd 0.000 1.513 8.129
Cd 0.000 8.129 11.720
Cd 0.000 11.720 5.104
Rb 0.000 10.900 8.950
Rb 0.000 2.333 4.283
Rb 0.000 8.950 2.333
Rb 0.000 4.283 10.900
K 0.000 6.617 6.617
K 0.000 0.000 0.000
Na 2.531 5.672 3.554
Na 2.531 0.944 10.171
Na 2.531 6.617 0.000
Na 2.531 12.289 3.062
Na 2.531 7.561 9.679
Na 2.531 3.062 0.944
Na 2.531 10.171 12.289
Na 2.531 0.000 6.617
Na 2.531 3.554 7.561
Na 2.531 9.679 5.672
```

Summary:
Crystal system ... tetragonal
SG ... P4/mbm
Uncorrected energy ... -1.159 eV per atom
Total magnetic moment ... 0.000 μB per cell